CaRuRh | GGA-PBE | optimized geometry

```
data_CaRuRh
_cell_length_a 10.0914
_cell_length_b 4.4252
_cell_length_c 7.2070
_cell_angle_alpha 90.00
_cell_angle_beta 134.18
_cell_angle_gamma 90.00
_symmetry_space_group_name_H-M 'C 1 2/m 1'
_symmetry_Int_Tables_number 12
loop_
_symmetry_equiv_pos_as_xyz
'x,y,z'
'-x,-y,-z'
'-x,y,-z'
'x,-y,z'
'x+1/2,y+1/2,z'
'-x+1/2,-y+1/2,-z'
'-x+1/2,y+1/2,-z'
'x+1/2,-y+1/2,z'
loop_
_atom_site_label
_atom_site_type_symbol
_atom_site_fract_x
_atom_site_fract_y
_atom_site_fract_z
Ca1 Ca 0.0671 0.0000 0.3250
Ru1 Ru 0.1443 0.5000 0.0601
Rh1 Rh 0.1694 0.5000 0.7375
```

Computed properties:
* raw total energy: -75.16 eV for the cell shown
* volume: 19.234 A^3/atom
* formation energy from the elements: -0.05 eV/atom
* density: 7.023 g cm⁻³

=====

CoTeSeBr2 | GGA-PBE | optimized geometry

```
data_CoTeSeBr2
_cell_length_a 4.8071
_cell_length_b 4.8071
_cell_length_c 4.9549
_cell_angle_alpha 90.00
_cell_angle_beta 90.00
_cell_angle_gamma 90.00
_symmetry_space_group_name_H-M 'P 4/m m m'
_symmetry_Int_Tables_number 123
_symmetry_space_group_name_Hall '-P 4 2'
loop_
_atom_site_label
_atom_site_type_symbol
_atom_site_fract_x
_atom_site_fract_y
_atom_site_fract_z
Co1 Co 0.0000 0.0000 0.0000
Te1 Te 0.5000 0.5000 0.5000
Se1 Se 0.0000 0.0000 0.5000
Br1 Br 0.0000 0.5000 0.0000
```

Computed properties:
* raw total energy: -15.92 eV for the cell shown
* volume: 22.900 A^3/atom
* formation energy (no corrections): 232.0 meV per atom
* density: 6.168 g cm⁻³

=====

Nd2Sm3Th3 | GGA-PBE | optimized geometry

```
data_Nd2Sm3Th3
_cell_length_a 9.2439
_cell_length_b 9.2439
_cell_length_c 3.6458
_cell_angle_alpha 90.00
_cell_angle_beta 90.00
_cell_angle_gamma 120.00
_symmetry_space_group_name_H-M 'P -6 2 m'
_symmetry_Int_Tables_number 189
_symmetry_space_group_name_Hall 'P -6 -2'
loop_
_atom_site_label
_atom_site_type_symbol
_atom_site_fract_x
_atom_site_fract_y
_atom_site_fract_z
Nd1 Nd 0.3333 0.6667 0.0000
Sm1 Sm 0.0000 0.6071 0.5000
Th1 Th 0.0000 0.2226 0.0000
```

Computed properties:
* raw total energy: -44.44 eV for the cell shown
* volume: 33.726 A^3/atom
* formation energy from the elements: 0.19 eV/atom
* density: 8.836 g cm⁻³

=====

CoCu4Pd5 | GGA-PBE | optimized geometry

```
data_CoCu4Pd5
_cell_length_a 2.7616
_cell_length_b 2.7616
_cell_length_c 17.9705
_cell_angle_alpha 90.00
_cell_angle_beta 90.00
_cell_angle_gamma 90.00
_symmetry_space_group_name_H-M 'P 4/m m m'
_symmetry_Int_Tables_number 123
_symmetry_space_group_name_Hall '-P 4 2'
loop_
_atom_site_label
_atom_site_type_symbol
_atom_site_fract_x
_atom_site_fract_y
_atom_site_fract_z
Co1 Co 0.0000 0.0000 0.0000
Cu1 Cu 0.0000 0.0000 0.1995
Cu2 Cu 0.0000 0.0000 0.3998
Pd1 Pd 0.5000 0.5000 0.0977
Pd2 Pd 0.5000 0.5000 0.2993
Pd3 Pd 0.5000 0.5000 0.5000
```

Computed properties:
* raw total energy: -50.17 eV for the cell shown
* volume: 13.705 A^3/atom
* formation energy from the elements: -0.07 eV/atom
* density: 10.241 g cm⁻³

=====

TaTc2As | GGA-PBE | optimized geometry

```
data_TaTc2As
_cell_length_a 2.9403
_cell_length_b 4.4245
_cell_length_c 4.9922
_cell_angle_alpha 90.00
_cell_angle_beta 104.09
_cell_angle_gamma 90.00
_symmetry_space_group_name_H-M 'P 1 m 1'
_symmetry_Int_Tables_number 6
loop_
_symmetry_equiv_pos_as_xyz
'x,y,z'
'x,-y,z'
loop_
_atom_site_label
_atom_site_type_symbol
_atom_site_fract_x
_atom_site_fract_y
_atom_site_fract_z
Ta1 Ta 0.0000 0.0000 0.0000
Tc1 Tc 0.4393 0.0000 0.5011
Tc2 Tc 0.8081 0.5000 0.2826
As1 As 0.4878 0.5000 0.7477
```

Computed properties:
* raw total energy: -37.62 eV for the cell shown
* volume: 15.748 A^3/atom
* formation energy from the elements: -0.10 eV/atom
* density: 11.912 g cm⁻³

=====

Al2InMo | GGA-PBE | optimized geometry

```
data_Al2InMo
_cell_length_a 9.9233
_cell_length_b 2.8669
_cell_length_c 4.9345
_cell_angle_alpha 90.00
_cell_angle_beta 97.04
_cell_angle_gamma 90.00
_symmetry_space_group_name_H-M 'C 1 m 1'
_symmetry_Int_Tables_number 8
loop_
_symmetry_equiv_pos_as_xyz
'x,y,z'
'x,-y,z'
'x+1/2,y+1/2,z'
'x+1/2,-y+1/2,z'
loop_
_atom_site_label
_atom_site_type_symbol
_atom_site_fract_x
_atom_site_fract_y
_atom_site_fract_z
Al1 Al 0.0000 0.0000 0.0000
Al2 Al 0.2432 0.0000 0.7374
In1 In 0.2633 0.5000 0.2560
Mo1 Mo 0.0093 0.5000 0.5206
```

Computed properties:
* raw total energy: -41.35 eV for the cell shown
* volume: 17.415 A^3/atom
* formation energy from the elements: 0.10 eV/atom
* density: 6.310 g cm⁻³

=====

CeNd2Y5Tm | GGA-PBE | optimized geometry

```
data_CeNd2Y5Tm
_cell_length_a 8.5819
_cell_length_b 8.5819
_cell_length_c 15.8200
_cell_angle_alpha 90.00
_cell_angle_beta 90.00
_cell_angle_gamma 90.00
_symmetry_space_group_name_H-M 'I 4/m c m'
_symmetry_Int_Tables_number 140
_symmetry_space_group_name_Hall '-I 4 2c'
loop_
_atom_site_label
_atom_site_type_symbol
_atom_site_fract_x
_atom_site_fract_y
_atom_site_fract_z
Ce1 Ce 0.0000 0.5000 0.2500
Nd1 Nd 0.1208 0.3792 0.0000
Y1 Y 0.0000 0.0000 0.0000
Y2 Y 0.2035 0.2965 0.3586
Tm1 Tm 0.0000 0.0000 0.2500
```

Computed properties:
* raw total energy: -199.59 eV for the cell shown
* volume: 32.365 A^3/atom
* formation energy from the elements: 0.26 eV/atom
* density: 5.941 g cm⁻³

=====

NpUSn6 | GGA-PBE | optimized geometry

```
data_NpUSn6
_cell_length_a 4.6272
_cell_length_b 4.6272
_cell_length_c 9.3136
_cell_angle_alpha 90.00
_cell_angle_beta 90.00
_cell_angle_gamma 90.00
_symmetry_space_group_name_H-M 'P 4/m m m'
_symmetry_Int_Tables_number 123
_symmetry_space_group_name_Hall '-P 4 2'
loop_
_atom_site_label
_atom_site_type_symbol
_atom_site_fract_x
_atom_site_fract_y
_atom_site_fract_z
Np1 Np 0.0000 0.0000 0.0000
U1 U 0.0000 0.0000 0.5000
Sn1 Sn 0.0000 0.5000 0.2504
Sn2 Sn 0.5000 0.5000 0.0000
Sn3 Sn 0.5000 0.5000 0.5000
```

Computed properties:
* raw total energy: -49.34 eV for the cell shown
* volume: 24.927 A^3/atom
* formation energy from the elements: -0.14 eV/atom
* density: 9.886 g cm⁻³

=====

Ac2NdHg6 | GGA-PBE | optimized geometry

```
data_Ac2NdHg6
_cell_length_a 8.7999
_cell_length_b 8.7999
_cell_length_c 3.8264
_cell_angle_alpha 90.00
_cell_angle_beta 90.00
_cell_angle_gamma 120.00
_symmetry_space_group_name_H-M 'P 6/m m m'
_symmetry_Int_Tables_number 191
_symmetry_space_group_name_Hall '-P 6 2'
loop_
_atom_site_label
_atom_site_type_symbol
_atom_site_fract_x
_atom_site_fract_y
_atom_site_fract_z
Ac1 Ac 0.3333 0.6667 0.0000
Nd1 Nd 0.0000 0.0000 0.0000
Hg1 Hg 0.0000 0.3295 0.5000
```

Computed properties:
* raw total energy: -18.82 eV for the cell shown
* volume: 28.513 A^3/atom
* formation energy from the elements: -0.45 eV/atom
* density: 11.659 g cm⁻³

=====

CeY6Ho3Sc2 | GGA-PBE | optimized geometry

```
data_CeY6Ho3Sc2
_cell_length_a 6.0776
_cell_length_b 10.5225
_cell_length_c 11.6475
_cell_angle_alpha 90.00
_cell_angle_beta 100.00
_cell_angle_gamma 90.00
_symmetry_space_group_name_H-M 'C 1 2/m 1'
_symmetry_Int_Tables_number 12
loop_
_symmetry_equiv_pos_as_xyz
'x,y,z'
'-x,-y,-z'
'-x,y,-z'
'x,-y,z'
'x+1/2,y+1/2,z'
'-x+1/2,-y+1/2,-z'
'-x+1/2,y+1/2,-z'
'x+1/2,-y+1/2,z'
loop_
_atom_site_label
_atom_site_type_symbol
_atom_site_fract_x
_atom_site_fract_y
_atom_site_fract_z
Ce1 Ce 0.0000 0.0000 0.0000
Y1 Y 0.2491 0.1667 0.2457
Y2 Y 0.2486 0.5000 0.2458
Ho1 Ho 0.0000 0.1678 0.5000
Ho2 Ho 0.0000 0.5000 0.5000
Sc1 Sc 0.0000 0.3334 0.0000
```

Computed properties:
* raw total energy: -140.78 eV for the cell shown
* volume: 30.565 A^3/atom
* formation energy from the elements: 0.06 eV/atom
* density: 5.697 g cm⁻³

=====

Zr3FeSi2 | GGA-PBE | optimized geometry

```
data_Zr3FeSi2
_cell_length_a 6.3257
_cell_length_b 6.3257
_cell_length_c 6.6405
_cell_angle_alpha 90.00
_cell_angle_beta 90.00
_cell_angle_gamma 120.00
_symmetry_space_group_name_H-M 'P 63/m m c'
_symmetry_Int_Tables_number 194
_symmetry_space_group_name_Hall '-P 6c 2c'
loop_
_atom_site_label
_atom_site_type_symbol
_atom_site_fract_x
_atom_site_fract_y
_atom_site_fract_z
Zr1 Zr 0.1689 0.3378 0.2500
Fe1 Fe 0.0000 0.0000 0.0000
Si1 Si 0.3333 0.6667 0.5803
```

Computed properties:
* raw total energy: -90.16 eV for the cell shown
* volume: 19.176 A^3/atom
* formation energy (no corrections): -21.0 meV per atom
* density: 5.566 g cm⁻³

=====

Na2BMo | GGA-PBE | optimized geometry

```
data_Na2BMo
_cell_length_a 10.1202
_cell_length_b 10.1202
_cell_length_c 4.1665
_cell_angle_alpha 90.00
_cell_angle_beta 90.00
_cell_angle_gamma 90.00
_symmetry_space_group_name_H-M 'I -4 2 d'
_symmetry_Int_Tables_number 122
_symmetry_space_group_name_Hall 'I -4 2bw'
loop_
_atom_site_label
_atom_site_type_symbol
_atom_site_fract_x
_atom_site_fract_y
_atom_site_fract_z
Na1 Na 0.0896 0.2500 0.1250
B1 B 0.0000 0.0000 0.0000
Mo1 Mo 0.0000 0.0000 0.5000
```

Computed properties:
* raw total energy: -62.55 eV for the cell shown
* volume: 26.671 A^3/atom
* formation energy from the elements: 1.13 eV/atom
* density: 2.377 g cm⁻³